VASP calculation (PBE) on crystalline AcY7Tm3 at its relaxed geometry.

Cell: 8.4749 8.4749 8.4749 Å, 139.00 97.32 96.77°
Fractional positions:
Ac (0.0000, 0.0000, 0.0000)
Y (0.0000, 0.5000, 0.5000)
Y (0.0984, 0.3048, 0.7936)
Y (0.3067, 0.0000, 0.3067)
Y (0.4888, 0.6952, 0.7936)
Y (0.5112, 0.3048, 0.2064)
Y (0.6933, 0.0000, 0.6933)
Y (0.9016, 0.6952, 0.2064)
Tm (0.2897, 0.7897, 0.5000)
Tm (0.5000, 0.5000, 0.0000)
Tm (0.7103, 0.2103, 0.5000)

Properties
Its space-group type is Immm (71). For the formation energy, the calculation gives 3.32 eV/f.u. The calculation puts the density of states at the Fermi level at 18.3 states/eV per cell. For the volume, the calculation gives 374 Å³/f.u. The energy above the most stable polymorph in this dataset comes out at 0.008 eV per atom.